1.
A plane-wave DFT calculation with PBE-GGA was carried out for a relaxed structure of Ta2RuPbW.

a b c (Å): 5.0089 4.7306 5.0089
angles (deg): 90.00 90.00 90.00
Positions (direct):
W: 0.5000 0.5000 0.5000
Pb: 0.0000 0.0000 0.0000
Ta: 0.0000 0.0000 0.5000
Ru: 0.0000 0.5000 0.0000
Ta: 0.5000 0.0000 0.0000

=====

2.
A plane-wave DFT calculation with PBE-GGA was carried out for a relaxed structure of LiSn.

a b c (Å): 8.0854 8.0854 4.8552
angles (deg): 90.00 90.00 120.00
Positions (direct):
Sn: 0.3719 0.4628 0.7500
Li: 0.2386 0.0302 0.7500
Li: 0.7614 0.9698 0.2500
Sn: 0.5372 0.9091 0.7500
Li: 0.2084 0.2386 0.2500
Li: 0.9698 0.2084 0.7500
Li: 0.0302 0.7916 0.2500
Sn: 0.0909 0.6281 0.7500
Sn: 0.6281 0.5372 0.2500
Sn: 0.4628 0.0909 0.2500
Li: 0.7916 0.7614 0.7500
Sn: 0.9091 0.3719 0.2500

=====

3.
A plane-wave DFT calculation with PBE-GGA was carried out for a relaxed structure of BaYZn2.

a b c (Å): 4.9541 4.9541 6.6737
angles (deg): 68.23 68.23 60.01
Positions (direct):
Y: 0.7500 0.7500 0.7500
Zn: 0.0565 0.0565 0.8305
Zn: 0.4435 0.4435 0.6695
Ba: 0.2500 0.2500 0.2500

Excess energy over the best structure of this formula in the dataset   106 meV/atom

=====

So what do the calculations give for total magnetization? Going down the list: 0.00 0.00 0.00 μB per cell.
So what do the calculations give for energy relative to the elements? Going down the list: 2732 -210 -122 meV per atom.